Record 1
5
Lattice="-2.146 -2.373 -1.423 0.937 -2.630 2.971 -4.378 2.047 3.193" Properties=species:S:1:pos:R:3 comment="GGA-PBE CsLiF3, optimized geometry" energy_ev_per_atom=-3.805 e_form_raw_ev_per_atom=-2.13 pbc="T T T"
Li 0.000 0.000 0.000
F -4.477 0.405 1.771
F -2.047 -0.731 -0.001
F 0.469 -1.315 1.486
Cs -1.720 -0.292 3.082

---

Record 2
8
Lattice="-0.049 -3.373 -2.349 3.478 1.219 -1.822 4.438 -4.068 5.752" Properties=species:S:1:pos:R:3 comment="GGA-PBE CsLiF2, optimized geometry" energy_ev_per_atom=-4.387 e_form_raw_ev_per_atom=-2.76 pbc="T T T"
Li 2.762 -2.285 1.426
F 3.051 -4.259 0.659
Cs 3.407 -2.383 -2.043
Li 5.105 -3.938 0.154
F 1.730 -1.339 0.090
F 6.136 -4.884 1.490
F 4.815 -1.963 0.922
Cs 4.459 -3.840 3.624

---

Record 3
8
Lattice="-2.006 3.516 -1.077 -2.649 -1.220 -7.194 -7.094 -2.233 -2.222" Properties=species:S:1:pos:R:3 comment="GGA-PBE Cs3LiF4, optimized geometry" energy_ev_per_atom=-4.138 e_form_raw_ev_per_atom=-2.64 pbc="T T T"
Cs -4.872 -1.727 -4.708
Cs -3.687 2.002 -2.889
F -3.774 1.068 -5.776
F -5.432 -0.426 -7.563
F -7.976 -1.005 -4.717
F -6.318 0.488 -2.931
Li -1.003 1.758 -0.539
Cs -8.063 -1.940 -7.605

---

Record 4
16
Lattice="6.158 0.000 0.000 -3.079 6.915 0.002 0.000 -2.146 8.770" Properties=species:S:1:pos:R:3 comment="GGA-PBE Cs3LiF4, optimized geometry" energy_ev_per_atom=-4.210 e_form_raw_ev_per_atom=-2.72 pbc="T T T"
Cs 3.079 1.234 5.658
F 0.000 0.701 2.150
Cs 0.000 3.535 3.114
Cs 3.079 4.860 0.856
F 1.435 -1.073 4.385
Li 3.079 4.630 4.762
Cs 0.000 4.242 6.749
Li 0.000 0.139 4.009
F 4.724 -1.073 4.385
F 3.079 4.068 6.622
F 0.000 4.829 0.467
Cs 3.079 0.527 2.022
F 3.079 3.230 3.445
Cs 0.000 -0.091 7.916
F 3.079 -0.060 8.304
F 0.000 1.539 5.326